A relaxed MgAgRh2 crystal. Source: Alexandria, functional PBE.

Its calculated formation energy is -0.0411 eV/atom.

abc: 2.8353 2.8353 27.0036
angles: 90.00 90.00 120.00
With the nearest neighbours (Å) after each atom.
Fractional coordinates of all 12 atoms:
Mg 0.0000 0.0000 0.0000  6 Rh 2.69, 6 Mg 2.84
Mg 0.3333 0.6667 0.6667  6 Rh 2.69, 6 Mg 2.84
Mg 0.6667 0.3333 0.3333  6 Rh 2.69, 6 Mg 2.84
Ag 0.0000 0.0000 0.5000  6 Ag 2.84, 6 Rh 2.88
Ag 0.3333 0.6667 0.1667  6 Ag 2.84, 6 Rh 2.88
Ag 0.6667 0.3333 0.8333  6 Ag 2.84, 6 Rh 2.88
Rh 0.0000 0.0000 0.2543  3 Mg 2.69, 6 Rh 2.84, 3 Ag 2.88
Rh 0.0000 0.0000 0.7457  3 Mg 2.69, 6 Rh 2.84, 3 Ag 2.88
Rh 0.3333 0.6667 0.4124  3 Mg 2.69, 6 Rh 2.84, 3 Ag 2.88
Rh 0.3333 0.6667 0.9210  3 Mg 2.69, 6 Rh 2.84, 3 Ag 2.88
Rh 0.6667 0.3333 0.0790  3 Mg 2.69, 6 Rh 2.84, 3 Ag 2.88
Rh 0.6667 0.3333 0.5876  3 Mg 2.69, 6 Rh 2.84, 3 Ag 2.88



A relaxed ReSbN2O crystal. Source: Alexandria, functional PBE.

The formation energy from raw total energies is 78.4 kJ/mol of formula units.

abc: 4.0077 4.0077 3.8700
angles: 90.00 90.00 90.00
With the nearest neighbours (Å) after each atom.
Fractional coordinates of all 5 atoms:
Re 0.0000 0.0000 0.0000  2 O 1.94, 4 N 2.00
Sb 0.5000 0.5000 0.5000  8 N 2.79, 4 O 2.83
N 0.0000 0.5000 0.0000  2 Re 2.00
N 0.5000 0.0000 0.0000  2 Re 2.00
O 0.0000 0.0000 0.5000  2 Re 1.94



A relaxed Pm2Dy2Al crystal. Source: Alexandria, functional PBE.

The calculation puts the polymorph energy (0 for the lowest one) at 0.0 meV per atom. Its calculated formation energy is 0.0053 eV/atom.

abc: 5.3854 5.3854 11.9846
angles: 90.00 90.00 120.00
With the nearest neighbours (Å) after each atom.
Fractional coordinates of all 10 atoms:
Pm 0.3333 0.6667 0.0931  6 Dy 3.30-3.63, 3 Al 3.63
Pm 0.3333 0.6667 0.4069  6 Dy 3.30-3.63, 3 Al 3.63
Pm 0.6667 0.3333 0.5931  6 Dy 3.30-3.63, 3 Al 3.63
Pm 0.6667 0.3333 0.9069  6 Dy 3.30-3.63, 3 Al 3.63
Dy 0.0000 0.0000 0.0000  2 Al 3.00, 6 Pm 3.30
Dy 0.0000 0.0000 0.5000  2 Al 3.00, 6 Pm 3.30
Dy 0.3333 0.6667 0.7500  3 Al 3.11
Dy 0.6667 0.3333 0.2500  3 Al 3.11
Al 0.0000 0.0000 0.2500  5 Dy 3.00-3.11
Al 0.0000 0.0000 0.7500  5 Dy 3.00-3.11



A relaxed VPOs2 crystal. Source: Alexandria, functional PBE.

Its calculated formation energy is 0.5820 eV/atom.

abc: 5.3739 5.3739 10.6390
angles: 90.00 90.00 90.00
With the nearest neighbours (Å) after each atom.
Fractional coordinates of all 16 atoms:
V 0.0000 0.0000 0.0000  4 Os 2.38
V 0.0000 0.5000 0.2500  4 Os 2.38
V 0.5000 0.0000 0.7500  4 Os 2.38
V 0.5000 0.5000 0.5000  4 Os 2.38
P 0.0000 0.0000 0.5000  4 Os 2.26
P 0.0000 0.5000 0.7500  4 Os 2.26
P 0.5000 0.0000 0.2500  4 Os 2.26
P 0.5000 0.5000 0.0000  4 Os 2.26
Os 0.2317 0.2500 0.6250  2 P 2.26, 2 V 2.38
Os 0.2500 0.7317 0.8750  2 P 2.26, 2 V 2.38
Os 0.2500 0.7683 0.3750  2 P 2.26, 2 V 2.38
Os 0.2683 0.2500 0.1250  2 P 2.26, 2 V 2.38
Os 0.7317 0.7500 0.1250  2 P 2.26, 2 V 2.38
Os 0.7500 0.2317 0.3750  2 P 2.26, 2 V 2.38
Os 0.7500 0.2683 0.8750  2 P 2.26, 2 V 2.38
Os 0.7683 0.7500 0.6250  2 P 2.26, 2 V 2.38



A relaxed U2AsO crystal. Source: Alexandria, functional PBE.

The formation energy from raw total energies is -438.7 kJ/mol of formula units. The calculation puts the polymorph energy (0 for the lowest one) at 299.2 meV per atom.

abc: 3.7357 3.7357 18.8398
angles: 90.00 90.00 120.00
With the nearest neighbours (Å) after each atom.
Fractional coordinates of all 12 atoms:
U 0.0000 0.0000 0.0000  1 U 2.43, 3 O 2.52
U 0.0000 0.0000 0.1290  1 U 2.43, 3 O 2.43
U 0.3333 0.6667 0.6667  1 U 2.43, 3 O 2.52
U 0.3333 0.6667 0.7957  1 U 2.43, 3 O 2.43
U 0.6667 0.3333 0.3333  1 U 2.43, 3 O 2.52
U 0.6667 0.3333 0.4624  1 U 2.43, 3 O 2.43
As 0.0000 0.0000 0.5626  6 U 2.87-2.92
As 0.3333 0.6667 0.2292  6 U 2.87-2.92
As 0.6667 0.3333 0.8959  6 U 2.87-2.92
O 0.0000 0.0000 0.7358  6 U 2.43-2.52
O 0.3333 0.6667 0.4024  6 U 2.43-2.52
O 0.6667 0.3333 0.0691  6 U 2.43-2.52



A relaxed NiHgMo crystal. Source: Alexandria, functional PBE.

The calculation puts the polymorph energy (0 for the lowest one) at 0.5 meV per atom. Its calculated formation energy is 0.2444 eV/atom.

abc: 3.1186 3.1318 10.5021
angles: 97.79 91.16 90.14
With the nearest neighbours (Å) after each atom.
Fractional coordinates of all 6 atoms:
Ni 0.0000 0.0000 0.0000  4 Ni 2.51-2.55, 4 Mo 2.57-2.60
Ni 0.4994 0.4455 0.8821  4 Ni 2.51-2.55, 1 Mo 2.56, 4 Hg 2.74-2.75
Hg 0.4581 0.7196 0.4758  4 Mo 3.00-3.08, 6 Hg 3.02-3.13
Hg 0.9902 0.8731 0.7265  5 Ni 2.74-2.85, 1 Hg 3.02
Mo 0.5173 0.5567 0.1286  2 Mo 2.49-2.51, 5 Ni 2.56-2.60
Mo 0.9186 0.1289 0.2752  2 Mo 2.49-2.51



A relaxed SbHPd3 crystal. Source: Alexandria, functional PBE.

The calculation puts the polymorph energy (0 for the lowest one) at 0.4 meV per atom.

abc: 3.6207 6.7182 5.8953
angles: 90.00 90.00 90.00
With the nearest neighbours (Å) after each atom.
Fractional coordinates of all 10 atoms:
Sb 0.0000 0.0000 0.0000  5 Pd 2.64-2.75
Sb 0.0000 0.5000 0.5000  5 Pd 2.64-2.75
H 0.5000 0.0000 0.5358  4 Pd 1.88-1.93
H 0.5000 0.5000 0.0358  4 Pd 1.88-1.93
Pd 0.0000 0.0000 0.4479  2 H 1.88
Pd 0.0000 0.5000 0.9479  2 H 1.88
Pd 0.5000 0.2164 0.7500  1 H 1.93
Pd 0.5000 0.2836 0.2500  1 H 1.93
Pd 0.5000 0.7164 0.2500  1 H 1.93
Pd 0.5000 0.7836 0.7500  1 H 1.93



A relaxed GeTeRu crystal. Source: Alexandria, functional PBE.

The formation energy from raw total energies is -19.0 kJ/mol of formula units.

abc: 12.2118 3.9400 5.9828
angles: 90.00 91.32 90.00
With the nearest neighbours (Å) after each atom.
Fractional coordinates of all 12 atoms:
Ge 0.0000 0.0000 0.0000  3 Ru 2.46-2.51
Ge 0.1851 0.0000 0.3178  3 Ru 2.47-2.50
Ge 0.5000 0.5000 0.0000  3 Ru 2.46-2.51
Ge 0.6851 0.5000 0.3178  3 Ru 2.47-2.50
Te 0.0256 0.5000 0.5077  3 Ru 2.75, 2 Ge 3.01
Te 0.2811 0.5000 0.8130  3 Ru 2.62-2.63, 1 Ge 2.87
Te 0.5256 0.0000 0.5077  3 Ru 2.75, 2 Ge 3.01
Te 0.7811 0.0000 0.8130  3 Ru 2.62-2.63, 1 Ge 2.87
Ru 0.1198 0.5000 0.0939  4 Ge 2.50-2.51, 2 Te 2.62-2.75
Ru 0.1450 0.0000 0.7213  2 Ge 2.46-2.47, 4 Te 2.63-2.75
Ru 0.6198 0.0000 0.0939  4 Ge 2.50-2.51, 2 Te 2.62-2.75
Ru 0.6450 0.5000 0.7213  2 Ge 2.46-2.47, 4 Te 2.63-2.75